Entry 1:
DFT (GGA-PBE) results for a geometry-optimized In4HgPt structure.

Cell: 5.991 5.991 5.991 Å, 60.00 60.00 60.00°
Positions (direct):
In (0.376, 0.376, 0.873)
Pt (0.750, 0.750, 0.750)
Hg (0.000, 0.000, 0.000)
In (0.873, 0.376, 0.376)
In (0.376, 0.376, 0.376)
In (0.376, 0.873, 0.376)

- energy relative to the lowest polymorph listed for this composition (eV/atom) = 0.5154
- density of states at the Fermi level (states/eV/atom) = 0.64
- V (Å³ per cell) = 152.0
- energy relative to the elements (eV per atom) = 0.34


Entry 2:
DFT (GGA-PBE) results for a geometry-optimized Sm2Pu3Rh4 structure.

Cell: 7.395 7.628 7.519 Å, 90.00 90.00 109.66°
Last column: magnetic moment on the atom in μB.
Positions (direct):
Pu (0.500, 0.500, 0.000)  5.17
Rh (0.868, 0.499, 0.134)  -0.24
Pu (0.261, 0.759, 0.162)  5.05
Rh (0.632, 0.501, 0.634)  -0.24
Rh (0.132, 0.501, 0.866)  -0.24
Pu (0.239, 0.241, 0.662)  5.05
Pu (0.739, 0.241, 0.838)  5.05
Rh (0.156, 0.923, 0.457)  -0.20
Sm (0.068, 0.190, 0.175)  0.09
Rh (0.656, 0.923, 0.043)  -0.20
Sm (0.932, 0.810, 0.825)  0.09
Pu (0.000, 0.500, 0.500)  5.17
Rh (0.844, 0.077, 0.543)  -0.20
Rh (0.344, 0.077, 0.957)  -0.20
Rh (0.368, 0.499, 0.366)  -0.24
Pu (0.761, 0.759, 0.338)  5.05
Sm (0.568, 0.190, 0.325)  0.09
Sm (0.432, 0.810, 0.675)  0.09

- density of states at the Fermi level (states/eV/atom) = 2.74
- V (Å³ per cell) = 399.4
- energy relative to the elements (eV per atom) = -0.56


Entry 3:
DFT (GGA-PBE) results for a geometry-optimized Al2ZnGe structure.

Cell: 4.057 4.086 4.086 Å, 90.00 90.00 90.00°
Positions (direct):
Zn (0.500, 0.000, 0.000)
Al (0.000, 0.000, 0.500)
Al (0.000, 0.500, 0.000)
Ge (0.500, 0.500, 0.500)

- density of states at the Fermi level (states/eV/atom) = 0.31
- V (Å³ per cell) = 67.8
- energy relative to the elements (eV per atom) = 0.10


Entry 4:
DFT (GGA-PBE) results for a geometry-optimized LiZnCu2 structure.

Cell: 2.605 2.605 7.769 Å, 90.00 90.00 89.91°
Positions (direct):
Cu (0.000, 0.000, 0.008)
Zn (0.500, 0.500, 0.762)
Cu (0.500, 0.500, 0.239)
Li (0.000, 0.000, 0.491)

- density of states at the Fermi level (states/eV/atom) = 0.24
- V (Å³ per cell) = 52.7
- energy relative to the elements (eV per atom) = -0.06


Entry 5:
DFT (GGA-PBE) results for a geometry-optimized Be2PCl structure.

Cell: 7.392 7.392 7.392 Å, 27.06 27.06 27.06°
Positions (direct):
Cl (0.538, 0.538, 0.538)
Be (0.268, 0.268, 0.268)
P (0.682, 0.682, 0.682)
Be (0.013, 0.013, 0.013)

- energy relative to the lowest polymorph listed for this composition (eV/atom) = 0.3372
- V (Å³ per cell) = 73.7
- formation energy from raw total energies (kJ/mol of formula units) = -70


Entry 6:
DFT (GGA-PBE) results for a geometry-optimized RbMg3Ag4Br12 structure.

Cell: 9.244 9.244 9.244 Å, 106.94 106.94 106.94°
Positions (direct):
Br (0.732, 0.018, 0.659)
Rb (0.000, 0.000, 0.000)
Mg (0.000, 0.579, 0.421)
Ag (0.102, 0.500, 0.898)
Br (0.323, 0.677, 0.500)
Br (0.268, 0.341, 0.982)
Br (0.677, 0.500, 0.323)
Br (0.982, 0.268, 0.341)
Br (0.913, 0.500, 0.087)
Br (0.341, 0.982, 0.268)
Br (0.500, 0.323, 0.677)
Mg (0.421, 0.000, 0.579)
Br (0.018, 0.659, 0.732)
Mg (0.579, 0.421, 0.000)
Ag (0.898, 0.102, 0.500)
Br (0.659, 0.732, 0.018)
Ag (0.500, 0.500, 0.500)
Br (0.500, 0.087, 0.913)
Ag (0.500, 0.898, 0.102)
Br (0.087, 0.913, 0.500)

- density of states at the Fermi level (states/eV/atom) = 0.66
- V (Å³ per cell) = 658.9
- formation energy from raw total energies (kJ/mol of formula units) = -1751


Entry 7:
DFT (GGA-PBE) results for a geometry-optimized TlBiAs structure.

Cell: 4.058 4.058 6.501 Å, 90.00 90.00 120.00°
Positions (direct):
Bi (0.333, 0.667, 0.610)
Tl (0.000, 0.000, 0.032)
As (0.667, 0.333, 0.358)

- energy relative to the lowest polymorph listed for this composition (eV/atom) = 0.0000
- density of states at the Fermi level (states/eV/atom) = 0.52
- V (Å³ per cell) = 92.7
- energy relative to the elements (eV per atom) = 0.04


Entry 8:
DFT (GGA-PBE) results for a geometry-optimized KMn2Zn structure.

Cell: 5.002 5.002 5.002 Å, 120.25 120.25 89.57°
Last column: magnetic moment on the atom in μB.
Positions (direct):
Mn (0.250, 0.750, 0.500)  3.93
K (0.750, 0.250, 0.500)  -0.01
Zn (0.500, 0.500, 0.000)  -0.07
Mn (0.000, 0.000, 0.000)  4.02

- density of states at the Fermi level (states/eV/atom) = 0.89
- V (Å³ per cell) = 88.1
- energy relative to the elements (eV per atom) = 0.97


Entry 9:
DFT (GGA-PBE) results for a geometry-optimized HfZr2Hg2 structure.

Cell: 8.550 8.550 3.104 Å, 90.00 90.00 90.00°
Positions (direct):
Zr (0.875, 0.625, 0.000)
Hf (0.500, 0.500, 0.000)
Hg (0.327, 0.173, 0.500)
Hf (0.000, 0.000, 0.000)
Zr (0.375, 0.875, 0.000)
Zr (0.625, 0.125, 0.000)
Hg (0.827, 0.327, 0.500)
Zr (0.125, 0.375, 0.000)
Hg (0.173, 0.673, 0.500)
Hg (0.673, 0.827, 0.500)

- energy relative to the lowest polymorph listed for this composition (eV/atom) = 0.2672
- density of states at the Fermi level (states/eV/atom) = 1.87
- V (Å³ per cell) = 226.9
- energy relative to the elements (eV per atom) = 0.20


Entry 10:
DFT (GGA-PBE) results for a geometry-optimized RbCaYRu2 structure.

Cell: 5.003 5.185 5.003 Å, 90.00 90.00 90.00°
Positions (direct):
Ru (0.500, 0.000, 0.000)
Rb (0.000, 0.500, 0.000)
Ca (0.000, 0.000, 0.000)
Y (0.500, 0.500, 0.500)
Ru (0.000, 0.000, 0.500)

- density of states at the Fermi level (states/eV/atom) = 1.00
- V (Å³ per cell) = 129.8
- energy relative to the elements (eV per atom) = 1.46


Entry 11:
DFT (GGA-PBE) results for a geometry-optimized PrTiC structure.

Cell: 3.582 3.582 8.974 Å, 90.00 90.00 90.00°
Positions (direct):
Pr (0.500, 0.000, 0.198)
Ti (0.000, 0.000, 0.500)
C (0.500, 0.000, 0.653)
C (0.000, 0.500, 0.347)
Pr (0.000, 0.500, 0.802)
Ti (0.500, 0.500, 0.500)

- density of states at the Fermi level (states/eV/atom) = 0.80
- V (Å³ per cell) = 115.1
- energy relative to the elements (eV per atom) = -0.15


Entry 12:
DFT (GGA-PBE) results for a geometry-optimized SrPm2Ge structure.

Cell: 3.861 3.861 9.189 Å, 90.00 90.00 90.00°
Positions (direct):
Pm (0.000, 0.000, 0.834)
Sr (0.500, 0.500, 0.500)
Ge (0.500, 0.500, 0.000)
Pm (0.000, 0.000, 0.166)

- energy relative to the lowest polymorph listed for this composition (eV/atom) = 0.0477
- density of states at the Fermi level (states/eV/atom) = 1.38
- V (Å³ per cell) = 137.0
- energy relative to the elements (eV per atom) = -0.24